K5WCl2O4 | PBE with a Hubbard U | optimized geometry

Output
E_tot: -4.820 eV per atom
Crystal system: orthorhombic

Cell lengths 6.6461, 6.2402, 8.4582 Å; angles 90.00, 90.00, 122.18 degrees
Site moments in Bohr magnetons follow the coordinates.
Positions (direct):
1 K 0.0653 0.3598 0.7882  0.00
2 K 0.7055 0.6402 0.7882  0.00
3 K 0.7055 0.6402 0.2118  0.00
4 K 0.0653 0.3598 0.2118  0.00
5 K 0.4862 0.0000 0.5000  0.00
6 O 0.5742 0.0000 0.8151  0.02
7 O 0.1044 0.6964 0.0000  0.02
8 O 0.4080 0.3036 0.0000  0.02
9 O 0.5742 0.0000 0.1849  0.02
10 W 0.4109 0.0000 0.0000  0.93
11 Cl 0.9556 0.6052 0.5000  0.00
12 Cl 0.3504 0.3948 0.5000  0.00